Computed, not measured: a relaxed structure of BaTi2Ga2 at the PBE level of DFT.

Output
- DOS(E_F) (states/eV/f.u.) = 5.91
- energy of formation from the pure elements (eV/atom) = -0.096

Geometry as CIF:
```
data_BaTi2Ga2
_cell_length_a 8.391
_cell_length_b 8.391
_cell_length_c 2.997
_cell_angle_alpha 90.00
_cell_angle_beta 90.00
_cell_angle_gamma 90.00
_space_group_name_H-M_alt 'P 4/m b m'
_space_group_IT_number 127
_space_group_name_Hall '-P 4 2ab'
loop_
_atom_site_label
_atom_site_type_symbol
_atom_site_fract_x
_atom_site_fract_y
_atom_site_fract_z
Ba1 Ba 0.000 0.000 0.000
Ti1 Ti 0.115 0.385 0.000
Ga1 Ga 0.171 0.671 0.500
```